(1)
Entry from the Alexandria database: a relaxed structure of Er2Fe3B4 (GGA-PBE).

a = 5.0149 Å, b = 5.0149 Å, c = 5.5213 Å
α = 102.96°, β = 102.96°, γ = 120.40°
Each line ends with the local moment (μB).
Fractional positions:
1 Er 0.6523 0.6523 0.3046  -0.19
2 Er 0.3477 0.3477 0.6954  -0.19
3 Fe 0.5000 0.0000 0.0000  1.07
4 Fe 0.0000 0.0000 0.0000  1.84
5 Fe 0.0000 0.5000 0.0000  1.07
6 B 0.0473 0.6258 0.6731  -0.03
7 B 0.6258 0.0473 0.6731  -0.03
8 B 0.9527 0.3742 0.3269  -0.03
9 B 0.3742 0.9527 0.3269  -0.03

Computed properties:
space group: Fmmm
magnetic moment: 3.53 μB per formula unit
total DFT energy (no corrections): -6.87 eV/atom
density of states at the Fermi level: 0.509 states/eV/atom
density: 8.47 g cm⁻³
energy of formation: -0.065 eV/atom

***

(2)
Entry from the Alexandria database: a relaxed structure of ErFeB2 (GGA-PBE).

a = 3.4581 Å, b = 5.7833 Å, c = 9.1971 Å
α = 90.00°, β = 90.00°, γ = 90.00°
Each line ends with the local moment (μB).
Fractional positions:
1 Er 0.7500 0.3840 0.3634  0.03
2 Er 0.2500 0.6160 0.6366  0.03
3 Er 0.7500 0.8840 0.1366  0.03
4 Er 0.2500 0.1160 0.8634  0.03
5 Fe 0.7500 0.3873 0.0615  -0.30
6 Fe 0.2500 0.6127 0.9385  -0.30
7 Fe 0.7500 0.8873 0.4385  -0.30
8 Fe 0.2500 0.1127 0.5615  -0.30
9 B 0.2500 0.0317 0.3365  0.02
10 B 0.7500 0.9683 0.6635  0.02
11 B 0.2500 0.5317 0.1635  0.02
12 B 0.7500 0.4683 0.8365  0.02
13 B 0.2500 0.2301 0.1659  0.00
14 B 0.7500 0.7699 0.8341  0.00
15 B 0.2500 0.7301 0.3341  0.00
16 B 0.7500 0.2699 0.6659  0.00

Computed properties:
space group: Pnma
magnetic moment: 0.25 μB per formula unit
total DFT energy (no corrections): -7.08 eV/atom
density of states at the Fermi level: 0.542 states/eV/atom
density: 8.84 g cm⁻³
energy of formation: -0.481 eV/atom

***

(3)
Entry from the Alexandria database: a relaxed structure of ErFe7B3 (GGA-PBE).

a = 6.6612 Å, b = 6.6612 Å, c = 7.2525 Å
α = 62.66°, β = 62.66°, γ = 60.00°
Each line ends with the local moment (μB).
Fractional positions:
1 Er 0.5000 0.5000 0.5000  -0.24
2 Er 0.0000 0.0000 0.0000  -0.24
3 Fe 0.6511 0.0822 0.4156  1.88
4 Fe 0.0822 0.8511 0.4156  1.88
5 Fe 0.8511 0.6511 0.4156  1.88
6 Fe 0.8489 0.6489 0.0844  1.88
7 Fe 0.4178 0.8489 0.0844  1.88
8 Fe 0.6489 0.4178 0.0844  1.88
9 Fe 0.3489 0.9178 0.5844  1.88
10 Fe 0.9178 0.1489 0.5844  1.88
11 Fe 0.1489 0.3489 0.5844  1.88
12 Fe 0.1511 0.3511 0.9156  1.88
13 Fe 0.5822 0.1511 0.9156  1.88
14 Fe 0.3511 0.5822 0.9156  1.88
15 Fe 0.7500 0.7500 0.7500  1.87
16 Fe 0.2500 0.2500 0.2500  1.87
17 B 0.4229 0.0771 0.7500  -0.13
18 B 0.0771 0.7500 0.7500  -0.13
19 B 0.7500 0.4229 0.7500  -0.13
20 B 0.5771 0.9229 0.2500  -0.13
21 B 0.9229 0.2500 0.2500  -0.13
22 B 0.2500 0.5771 0.2500  -0.13

Computed properties:
space group: R-3c
magnetic moment: 12.47 μB per formula unit
total DFT energy (no corrections): -7.75 eV/atom
density of states at the Fermi level: 0.934 states/eV/atom
density: 8.30 g cm⁻³
energy of formation: -0.127 eV/atom

***

(4)
Entry from the Alexandria database: a relaxed structure of ErFe3B3 (GGA-PBE).

a = 3.0390 Å, b = 7.6166 Å, c = 7.6195 Å
α = 119.99°, β = 90.00°, γ = 90.00°
Each line ends with the local moment (μB).
Fractional positions:
1 Er 0.7500 0.3334 0.6668  -0.20
2 Er 0.2500 0.6666 0.3332  -0.20
3 Fe 0.7500 0.7636 0.0709  1.72
4 Fe 0.7500 0.3074 0.2366  1.72
5 Fe 0.7500 0.9290 0.6924  1.72
6 Fe 0.2500 0.2364 0.9291  1.72
7 Fe 0.2500 0.6926 0.7634  1.72
8 Fe 0.2500 0.0710 0.3076  1.72
9 B 0.7500 0.9638 0.4183  -0.07
10 B 0.7500 0.4545 0.0363  -0.07
11 B 0.7500 0.5818 0.5454  -0.07
12 B 0.2500 0.0362 0.5817  -0.07
13 B 0.2500 0.5455 0.9637  -0.07
14 B 0.2500 0.4182 0.4546  -0.07

Computed properties:
space group: P6_3/m
magnetic moment: 4.75 μB per formula unit
total DFT energy (no corrections): -7.30 eV/atom
density of states at the Fermi level: 0.449 states/eV/atom
density: 7.98 g cm⁻³
energy of formation: -0.163 eV/atom

***

(5)
Entry from the Alexandria database: a relaxed structure of ErFe3B3 (GGA-PBE).

a = 5.4821 Å, b = 5.4821 Å, c = 5.4821 Å
α = 90.00°, β = 90.00°, γ = 90.00°
Each line ends with the local moment (μB).
Fractional positions:
1 B 0.2500 0.0000 0.5000  -0.05
2 B 0.0000 0.5000 0.2500  -0.05
3 B 0.5000 0.7500 0.0000  -0.05
4 B 0.7500 0.0000 0.5000  -0.05
5 B 0.0000 0.5000 0.7500  -0.05
6 B 0.5000 0.2500 0.0000  -0.05
7 Fe 0.0000 0.2500 0.5000  0.93
8 Fe 0.0000 0.7500 0.5000  0.93
9 Fe 0.5000 0.0000 0.7500  0.93
10 Fe 0.7500 0.5000 0.0000  0.93
11 Fe 0.5000 0.0000 0.2500  0.93
12 Fe 0.2500 0.5000 0.0000  0.93
13 Er 0.5000 0.5000 0.5000  -0.01
14 Er 0.0000 0.0000 0.0000  -0.01

Computed properties:
space group: Pm-3n
magnetic moment: 2.66 μB per formula unit
total DFT energy (no corrections): -7.20 eV/atom
density of states at the Fermi level: 0.888 states/eV/atom
density: 7.40 g cm⁻³
energy of formation: -0.063 eV/atom

***

(6)
Entry from the Alexandria database: a relaxed structure of ErFe2B2 (GGA-PBE).

a = 5.3012 Å, b = 5.3012 Å, c = 5.3012 Å
α = 140.61°, β = 140.61°, γ = 56.92°
Each line ends with the local moment (μB).
Fractional positions:
1 Er 0.0000 0.0000 0.0000  -0.04
2 Fe 0.7500 0.2500 0.5000  0.84
3 Fe 0.2500 0.7500 0.5000  0.84
4 B 0.6507 0.6507 0.0000  -0.06
5 B 0.3493 0.3493 0.0000  -0.06

Computed properties:
space group: I4/mmm
magnetic moment: 1.54 μB per formula unit
total DFT energy (no corrections): -7.42 eV/atom
density of states at the Fermi level: 0.719 states/eV/atom
density: 8.39 g cm⁻³
energy of formation: -0.451 eV/atom

***

(7)
Entry from the Alexandria database: a relaxed structure of ErFeB14 (GGA-PBE).

a = 5.8384 Å, b = 7.3010 Å, c = 7.3010 Å
α = 68.72°, β = 66.43°, γ = 66.43°
Each line ends with the local moment (μB).
Fractional positions:
1 Er 0.2500 0.3821 0.1179  0.08
2 Er 0.7500 0.6179 0.8821  0.08
3 Fe 0.5000 0.0000 0.5000  2.51
4 Fe 0.0000 0.0000 0.5000  2.51
5 B 0.6670 0.3676 0.2984  0.02
6 B 0.3330 0.6324 0.7016  0.02
7 B 0.1670 0.7984 0.8676  0.02
8 B 0.8330 0.2016 0.1324  0.02
9 B 0.1367 0.2343 0.4923  0.05
10 B 0.8633 0.7657 0.5077  0.05
11 B 0.6367 0.9923 0.7343  0.05
12 B 0.3633 0.0077 0.2657  0.05
13 B 0.0883 0.0809 0.7424  0.03
14 B 0.9117 0.9191 0.2576  0.03
15 B 0.5883 0.2424 0.5809  0.03
16 B 0.4117 0.7576 0.4191  0.03
17 B 0.7214 0.6010 0.2776  0.01
18 B 0.6001 0.3990 0.7224  0.01
19 B 0.2214 0.7776 0.1010  0.01
20 B 0.1001 0.2224 0.8990  0.01
21 B 0.2786 0.3990 0.7224  0.01
22 B 0.3999 0.6010 0.2776  0.01
23 B 0.7786 0.2224 0.8990  0.01
24 B 0.8999 0.7776 0.1010  0.01
25 B 0.3282 0.9668 0.8731  0.03
26 B 0.1680 0.0332 0.1269  0.03
27 B 0.8282 0.3731 0.4668  0.03
28 B 0.6680 0.6269 0.5332  0.03
29 B 0.6718 0.0332 0.1269  0.03
30 B 0.8320 0.9668 0.8731  0.03
31 B 0.1718 0.6269 0.5332  0.03
32 B 0.3320 0.3731 0.4668  0.03

Computed properties:
space group: Imma
magnetic moment: 3.06 μB per formula unit
total DFT energy (no corrections): -6.81 eV/atom
density of states at the Fermi level: 0.184 states/eV/atom
density: 4.90 g cm⁻³
energy of formation: -0.155 eV/atom

***

(8)
Entry from the Alexandria database: a relaxed structure of ErFe4B2 (GGA-PBE).

a = 3.5097 Å, b = 3.5087 Å, c = 6.4057 Å
α = 105.89°, β = 90.00°, γ = 90.00°
Fractional positions:
1 Er 0.0000 0.0000 0.0000
2 Fe 0.5000 0.8154 0.6307
3 Fe 0.0000 0.6880 0.3760
4 Fe 0.5000 0.1846 0.3693
5 Fe 0.0000 0.3120 0.6240
6 B 0.5000 0.5846 0.1693
7 B 0.5000 0.4154 0.8307

Computed properties:
space group: Cmmm
magnetic moment: 0.00 μB per formula unit
total DFT energy (no corrections): -7.68 eV/atom
density of states at the Fermi level: 0.763 states/eV/atom
density: 9.02 g cm⁻³
energy of formation: -0.281 eV/atom

***

(9)
Entry from the Alexandria database: a relaxed structure of Er3FeB7 (GGA-PBE).

a = 7.9633 Å, b = 7.9633 Å, c = 9.2267 Å
α = 90.00°, β = 90.00°, γ = 155.42°
Fractional positions:
1 Er 0.8949 0.1051 0.4396
2 Er 0.1051 0.8949 0.5604
3 Er 0.8949 0.1051 0.0604
4 Er 0.1051 0.8949 0.9396
5 Er 0.2428 0.7572 0.2500
6 Er 0.7572 0.2428 0.7500
7 Fe 0.0537 0.9463 0.2500
8 Fe 0.9463 0.0537 0.7500
9 B 0.7276 0.2724 0.4671
10 B 0.2724 0.7276 0.5329
11 B 0.7276 0.2724 0.0329
12 B 0.2724 0.7276 0.9671
13 B 0.6301 0.3699 0.1529
14 B 0.3699 0.6301 0.8471
15 B 0.6301 0.3699 0.3471
16 B 0.3699 0.6301 0.6529
17 B 0.5213 0.4787 0.0977
18 B 0.4787 0.5213 0.9023
19 B 0.5213 0.4787 0.4023
20 B 0.4787 0.5213 0.5977
21 B 0.4586 0.5414 0.2500
22 B 0.5414 0.4586 0.7500

Computed properties:
space group: Cmcm
magnetic moment: 0.00 μB per formula unit
total DFT energy (no corrections): -6.90 eV/atom
density of states at the Fermi level: 0.348 states/eV/atom
density: 8.64 g cm⁻³
energy of formation: -0.639 eV/atom